A:
CeSm6Te8: optimized geometry, GGA-PBE.

Structure (POSCAR):
```
CeSm6Te8
1.0
0.000 6.270 6.270
6.270 0.000 6.270
6.270 6.270 0.000
Ce Sm Te
1 6 8
Direct
0.000 0.000 0.000
0.000 0.000 0.500
0.000 0.500 0.000
0.000 0.500 0.500
0.500 0.000 0.000
0.500 0.000 0.500
0.500 0.500 0.000
0.250 0.250 0.250
0.258 0.258 0.742
0.258 0.742 0.258
0.258 0.742 0.742
0.742 0.258 0.258
0.742 0.258 0.742
0.742 0.742 0.258
0.750 0.750 0.750
```

Computed properties:
Calculated volume: 493.0 Å³ per cell
Crystal system: cubic
Magnetization: 1.40 μB per formula unit

B:
CeSm6Te8: optimized geometry, GGA-PBE.

Structure (POSCAR):
```
CeSm6Te8
1.0
4.731 2.732 6.271
-4.731 2.732 6.271
0.000 -5.463 6.271
Ce Sm Te
1 6 8
Direct
0.000 0.000 0.000
0.079 0.694 0.456
0.306 0.544 0.921
0.456 0.079 0.694
0.544 0.921 0.306
0.694 0.456 0.079
0.921 0.306 0.544
0.097 0.369 0.808
0.192 0.903 0.631
0.327 0.327 0.327
0.369 0.808 0.097
0.631 0.192 0.903
0.673 0.673 0.673
0.808 0.097 0.369
0.903 0.631 0.192
```

Computed properties:
Calculated volume: 486.3 Å³ per cell
Crystal system: trigonal
Magnetization: 1.76 μB per formula unit

It turns out A is the most stable, with the second structure 116 meV/atom higher.

A:
CeSm2Th: optimized geometry, GGA-PBE.

Structure (POSCAR):
```
CeSm2Th
1.0
0.000 4.033 4.033
4.033 0.000 4.033
4.033 4.033 0.000
Ce Sm Th
1 2 1
Direct
0.000 0.000 0.000
0.250 0.250 0.250
0.750 0.750 0.750
0.500 0.500 0.500
```

Computed properties:
Calculated volume: 131.2 Å³ per cell
Crystal system: cubic
Magnetization: 0.83 μB per formula unit

B:
CeSm2Th: optimized geometry, GGA-PBE.

Structure (POSCAR):
```
CeSm2Th
1.0
4.998 0.000 0.000
0.000 4.998 0.000
0.000 0.000 5.147
Ce Sm Th
1 2 1
Direct
0.000 0.000 0.000
0.000 0.500 0.500
0.500 0.000 0.500
0.500 0.500 0.000
```

Computed properties:
Calculated volume: 128.6 Å³ per cell
Crystal system: tetragonal
Magnetization: 0.94 μB per formula unit

It turns out B is the most stable, with the second structure 136 meV/atom higher.

A:
Ce2SmTh: optimized geometry, GGA-PBE.

Structure (POSCAR):
```
Ce2SmTh
1.0
1.723 0.995 12.085
-1.723 0.995 12.085
0.000 -1.990 12.085
Ce Sm Th
2 1 1
Direct
0.089 0.089 0.089
0.911 0.911 0.911
0.000 0.000 0.000
0.500 0.500 0.500
```

Computed properties:
Calculated volume: 124.3 Å³ per cell
Crystal system: trigonal
Magnetization: 1.68 μB per formula unit

B:
Ce2SmTh: optimized geometry, GGA-PBE.

Structure (POSCAR):
```
Ce2SmTh
1.0
3.486 0.000 0.000
0.000 3.486 0.000
0.000 0.000 9.985
Ce Sm Th
2 1 1
Direct
0.000 0.000 0.239
0.000 0.000 0.761
0.500 0.500 0.500
0.500 0.500 0.000
```

Computed properties:
Calculated volume: 121.3 Å³ per cell
Crystal system: tetragonal
Magnetization: 0.00 μB per formula unit

C:
Ce2SmTh: optimized geometry, GGA-PBE.

Structure (POSCAR):
```
Ce2SmTh
1.0
4.908 0.000 0.000
0.000 4.908 0.000
0.000 0.000 4.989
Ce Sm Th
2 1 1
Direct
0.000 0.500 0.000
0.500 0.000 0.000
0.000 0.000 0.500
0.500 0.500 0.500
```

Computed properties:
Calculated volume: 120.2 Å³ per cell
Crystal system: tetragonal
Magnetization: 0.07 μB per formula unit

It turns out B is the most stable, with the second structure 35 meV/atom higher.

A:
Ce2SmTh: optimized geometry, GGA-PBE.

Structure (POSCAR):
```
Ce2SmTh
1.0
1.746 1.008 11.607
-1.746 1.008 11.607
0.000 -2.017 11.607
Ce Sm Th
2 1 1
Direct
0.000 0.000 0.000
0.164 0.164 0.164
0.583 0.583 0.583
0.415 0.415 0.415
```

Computed properties:
Calculated volume: 122.6 Å³ per cell
Crystal system: trigonal
Magnetization: 0.67 μB per formula unit

B:
Ce2SmTh: optimized geometry, GGA-PBE.

Structure (POSCAR):
```
Ce2SmTh
1.0
0.000 3.961 3.961
3.961 0.000 3.961
3.961 3.961 0.000
Ce Sm Th
2 1 1
Direct
0.250 0.250 0.250
0.750 0.750 0.750
0.000 0.000 0.000
0.500 0.500 0.500
```

Computed properties:
Calculated volume: 124.3 Å³ per cell
Crystal system: cubic
Magnetization: 2.09 μB per formula unit

It turns out A is the most stable, with the second structure 176 meV/atom higher.

A:
CeSmTh2: optimized geometry, GGA-PBE.

Structure (POSCAR):
```
CeSmTh2
1.0
5.032 0.000 0.000
0.000 5.032 0.000
0.000 0.000 4.956
Ce Sm Th
1 1 2
Direct
0.000 0.000 0.000
0.500 0.500 0.000
0.000 0.500 0.500
0.500 0.000 0.500
```

Computed properties:
Calculated volume: 125.5 Å³ per cell
Crystal system: tetragonal
Magnetization: 0.34 μB per formula unit

B:
CeSmTh2: optimized geometry, GGA-PBE.

Structure (POSCAR):
```
CeSmTh2
1.0
3.540 0.000 0.000
0.000 3.540 0.000
0.000 0.000 10.008
Ce Sm Th
1 1 2
Direct
0.000 0.000 0.000
0.000 0.000 0.500
0.500 0.500 0.240
0.500 0.500 0.760
```

Computed properties:
Calculated volume: 125.4 Å³ per cell
Crystal system: tetragonal
Magnetization: 0.00 μB per formula unit

It turns out B is the most stable, with the second structure 37 meV/atom higher.

A:
CeSmTh2: optimized geometry, GGA-PBE.

Structure (POSCAR):
```
CeSmTh2
1.0
1.737 1.003 12.334
-1.737 1.003 12.334
0.000 -2.005 12.334
Ce Sm Th
1 1 2
Direct
0.000 0.000 0.000
0.500 0.500 0.500
0.411 0.411 0.411
0.589 0.589 0.589
```

Computed properties:
Calculated volume: 128.8 Å³ per cell
Crystal system: trigonal
Magnetization: 0.00 μB per formula unit

B:
CeSmTh2: optimized geometry, GGA-PBE.

Structure (POSCAR):
```
CeSmTh2
1.0
0.000 3.980 3.980
3.980 0.000 3.980
3.980 3.980 0.000
Ce Sm Th
1 1 2
Direct
0.000 0.000 0.000
0.500 0.500 0.500
0.250 0.250 0.250
0.750 0.750 0.750
```

Computed properties:
Calculated volume: 126.1 Å³ per cell
Crystal system: cubic
Magnetization: 0.00 μB per formula unit

It turns out B is the most stable, with the second structure 30 meV/atom higher.

A:
CeSmTmTh: optimized geometry, GGA-PBE.

Structure (POSCAR):
```
CeSmTmTh
1.0
0.000 3.993 3.993
3.993 0.000 3.993
3.993 3.993 0.000
Ce Sm Tm Th
1 1 1 1
Direct
0.000 0.000 0.000
0.750 0.750 0.750
0.500 0.500 0.500
0.250 0.250 0.250
```

Computed properties:
Calculated volume: 127.4 Å³ per cell
Crystal system: cubic
Magnetization: 1.84 μB per formula unit

B:
CeSmTmTh: optimized geometry, GGA-PBE.

Structure (POSCAR):
```
CeSmTmTh
1.0
1.774 1.024 11.424
-1.774 1.024 11.424
0.000 -2.049 11.424
Ce Sm Tm Th
1 1 1 1
Direct
0.000 0.000 0.000
0.832 0.832 0.832
0.584 0.584 0.584
0.414 0.414 0.414
```

Computed properties:
Calculated volume: 124.6 Å³ per cell
Crystal system: trigonal
Magnetization: 0.18 μB per formula unit

It turns out B is the most stable, with the second structure 185 meV/atom higher.

A:
CeSm2Tl4: optimized geometry, GGA-PBE.

Structure (POSCAR):
```
CeSm2Tl4
1.0
2.467 1.424 10.374
-2.467 1.424 10.374
0.000 -2.848 10.374
Ce Sm Tl
1 2 4
Direct
0.000 0.000 0.000
0.129 0.129 0.129
0.871 0.871 0.871
0.246 0.246 0.246
0.383 0.383 0.383
0.617 0.617 0.617
0.754 0.754 0.754
```

Computed properties:
Calculated volume: 218.7 Å³ per cell
Crystal system: trigonal
Magnetization: 0.75 μB per formula unit

B:
CeSm2Tl4: optimized geometry, GGA-PBE.

Structure (POSCAR):
```
CeSm2Tl4
1.0
5.342 0.000 0.000
0.000 5.342 0.000
0.000 0.000 7.732
Ce Sm Tl
1 2 4
Direct
0.000 0.000 0.000
0.000 0.000 0.500
0.500 0.500 0.000
0.000 0.500 0.270
0.000 0.500 0.730
0.500 0.000 0.270
0.500 0.000 0.730
```

Computed properties:
Calculated volume: 220.6 Å³ per cell
Crystal system: tetragonal
Magnetization: 1.97 μB per formula unit

It turns out B is the most stable, with the second structure 68 meV/atom higher.

A:
Ce2Sm2Tl3: optimized geometry, GGA-PBE.

Structure (POSCAR):
```
Ce2Sm2Tl3
1.0
2.212 -12.469 0.000
2.212 12.469 0.000
0.000 0.000 3.559
Ce Sm Tl
2 2 3
Direct
0.215 0.785 0.000
0.785 0.215 0.000
0.073 0.927 0.000
0.927 0.073 0.000
0.355 0.645 0.500
0.500 0.500 0.500
0.645 0.355 0.500
```

Computed properties:
Calculated volume: 196.3 Å³ per cell
Crystal system: orthorhombic
Magnetization: 1.58 μB per formula unit

B:
Ce2Sm2Tl3: optimized geometry, GGA-PBE.

Structure (POSCAR):
```
Ce2Sm2Tl3
1.0
5.672 -2.489 0.000
5.672 2.489 0.000
-0.303 0.000 7.246
Ce Sm Tl
2 2 3
Direct
0.072 0.072 0.162
0.928 0.928 0.838
0.200 0.200 0.649
0.800 0.800 0.351
0.364 0.364 0.093
0.500 0.500 0.500
0.636 0.636 0.907
```

Computed properties:
Calculated volume: 204.6 Å³ per cell
Crystal system: monoclinic
Magnetization: 1.57 μB per formula unit

It turns out A is the most stable, with the second structure 44 meV/atom higher.

A:
CeSm5Tl6: optimized geometry, GGA-PBE.

Structure (POSCAR):
```
CeSm5Tl6
1.0
4.981 -5.746 0.000
4.981 5.746 0.000
-1.475 0.000 6.565
Ce Sm Tl
1 5 6
Direct
0.000 0.000 0.000
0.164 0.836 0.500
0.332 0.668 0.000
0.500 0.500 0.500
0.668 0.332 0.000
0.836 0.164 0.500
0.083 0.420 0.253
0.252 0.252 0.749
0.420 0.083 0.253
0.580 0.917 0.747
0.748 0.748 0.251
0.917 0.580 0.747
```

Computed properties:
Calculated volume: 375.8 Å³ per cell
Crystal system: monoclinic
Magnetization: 0.93 μB per formula unit

B:
CeSm5Tl6: optimized geometry, GGA-PBE.

Structure (POSCAR):
```
CeSm5Tl6
1.0
8.687 -3.840 0.000
8.687 3.840 0.000
-1.709 0.000 5.220
Ce Sm Tl
1 5 6
Direct
0.000 0.000 0.000
0.164 0.164 0.665
0.332 0.332 0.332
0.500 0.500 0.000
0.668 0.668 0.668
0.836 0.836 0.335
0.085 0.579 0.831
0.256 0.744 0.500
0.421 0.915 0.169
0.579 0.085 0.831
0.744 0.256 0.500
0.915 0.421 0.169
```

Computed properties:
Calculated volume: 348.3 Å³ per cell
Crystal system: monoclinic
Magnetization: 1.16 μB per formula unit

It turns out B is the most stable, with the second structure 123 meV/atom higher.

A:
CeSm2Tl2: optimized geometry, GGA-PBE.

Structure (POSCAR):
```
CeSm2Tl2
1.0
5.384 0.000 0.000
-2.692 4.663 0.000
0.000 0.000 6.582
Ce Sm Tl
1 2 2
Direct
0.000 0.000 0.000
0.333 0.667 0.667
0.667 0.333 0.333
0.333 0.667 0.183
0.667 0.333 0.817
```

Computed properties:
Calculated volume: 165.2 Å³ per cell
Crystal system: trigonal
Magnetization: 1.49 μB per formula unit

B:
CeSm2Tl2: optimized geometry, GGA-PBE.

Structure (POSCAR):
```
CeSm2Tl2
1.0
5.209 0.000 0.000
-2.605 4.511 0.000
0.000 0.000 12.789
Ce Sm Tl
2 4 4
Direct
0.000 0.000 0.250
0.000 0.000 0.750
0.000 0.000 0.000
0.000 0.000 0.500
0.333 0.667 0.250
0.667 0.333 0.750
0.333 0.667 0.624
0.333 0.667 0.876
0.667 0.333 0.124
0.667 0.333 0.376
```

Computed properties:
Calculated volume: 300.5 Å³ per cell
Crystal system: hexagonal
Magnetization: 0.70 μB per formula unit

It turns out A is the most stable, with the second structure 50 meV/atom higher.

A:
Ce2SmTm: optimized geometry, GGA-PBE.

Structure (POSCAR):
```
Ce2SmTm
1.0
3.472 0.000 0.000
0.000 3.472 0.000
0.000 0.000 10.134
Ce Sm Tm
2 1 1
Direct
0.000 0.000 0.246
0.000 0.000 0.754
0.500 0.500 0.500
0.500 0.500 0.000
```

Computed properties:
Calculated volume: 122.1 Å³ per cell
Crystal system: tetragonal
Magnetization: 1.54 μB per formula unit

B:
Ce2SmTm: optimized geometry, GGA-PBE.

Structure (POSCAR):
```
Ce2SmTm
1.0
1.676 0.967 12.360
-1.676 0.967 12.360
0.000 -1.935 12.360
Ce Sm Tm
2 1 1
Direct
0.084 0.084 0.084
0.916 0.916 0.916
0.500 0.500 0.500
0.000 0.000 0.000
```

Computed properties:
Calculated volume: 120.2 Å³ per cell
Crystal system: trigonal
Magnetization: 1.54 μB per formula unit

It turns out A is the most stable, with the second structure 128 meV/atom higher.

A:
Ce2SmTm: optimized geometry, GGA-PBE.

Structure (POSCAR):
```
Ce2SmTm
1.0
4.906 0.000 0.000
0.000 4.906 0.000
0.000 0.000 5.065
Ce Sm Tm
2 1 1
Direct
0.000 0.500 0.000
0.500 0.000 0.000
0.000 0.000 0.500
0.500 0.500 0.500
```

Computed properties:
Calculated volume: 121.9 Å³ per cell
Crystal system: tetragonal
Magnetization: 1.61 μB per formula unit

B:
Ce2SmTm: optimized geometry, GGA-PBE.

Structure (POSCAR):
```
Ce2SmTm
1.0
1.751 1.011 11.573
-1.751 1.011 11.573
0.000 -2.021 11.573
Ce Sm Tm
2 1 1
Direct
0.000 0.000 0.000
0.163 0.163 0.163
0.580 0.580 0.580
0.749 0.749 0.749
```

Computed properties:
Calculated volume: 122.9 Å³ per cell
Crystal system: trigonal
Magnetization: 1.63 μB per formula unit

It turns out B is the most stable, with the second structure 11 meV/atom higher.